Entry from Alexandria: K2Co3CuF12 after structural relaxation (GGA+U).

Unit cell a=7.301 b=7.301 c=7.301 alpha=60.01 beta=60.01 gamma=60.01
Each line ends with the local moment (μB).
Fractional positions:
F: 0.074 0.074 0.676  0.14
Co: 0.000 0.500 0.000  3.09
F: 0.935 0.320 0.320  0.14
Cu: 0.000 0.000 0.000  0.93
F: 0.680 0.680 0.065  0.14
F: 0.065 0.680 0.680  0.14
F: 0.320 0.320 0.935  0.14
F: 0.324 0.926 0.926  0.14
Co: 0.000 0.000 0.500  3.09
F: 0.676 0.074 0.074  0.14
Co: 0.500 0.000 0.000  3.09
F: 0.074 0.676 0.074  0.14
F: 0.926 0.926 0.324  0.14
K: 0.640 0.640 0.640  0.00
K: 0.360 0.360 0.360  0.00
F: 0.680 0.065 0.680  0.14
F: 0.926 0.324 0.926  0.14
F: 0.320 0.935 0.320  0.14

Output
* size of the total moment: 0.667 μB per atom
* E: -4.57 eV/atom
* SG: R-3m, No. 166
* DOS at the Fermi energy: 0.193 states/eV/atom